# 1
## PmPrHoIn (PBE)

Data for a relaxed structure of PmPrHoIn.

Cell lengths 7.865, 7.865, 7.865 Å; angles 90.00, 90.00, 90.00 degrees
Fractional positions:
Pm  0.000  0.000  0.000
Pm  0.000  0.500  0.500
Pm  0.500  0.000  0.500
Pm  0.500  0.500  0.000
Pr  0.000  0.000  0.500
Pr  0.000  0.500  0.000
Pr  0.500  0.000  0.000
Pr  0.500  0.500  0.500
Ho  0.250  0.250  0.750
Ho  0.250  0.750  0.250
Ho  0.750  0.250  0.250
Ho  0.750  0.750  0.750
In  0.250  0.250  0.250
In  0.250  0.750  0.750
In  0.750  0.250  0.750
In  0.750  0.750  0.250

Computed properties:
- energy above the most stable polymorph in this dataset (meV/atom) = 0
- DOS at the Fermi energy (states/eV/cell) = 29.104
- formation energy from the elements (eV/f.u.) = -0.6
- theoretical density (Mg/m³) = 7.7
- space-group type = F-43m

***

# 2
## Tb3DyIn4 (PBE)

Data for a relaxed structure of Tb3DyIn4.

Cell lengths 3.770, 3.770, 15.096 Å; angles 90.00, 90.00, 90.00 degrees
Fractional positions:
Tb  0.000  0.000  0.000
Tb  0.000  0.000  0.251
Tb  0.000  0.000  0.749
Dy  0.000  0.000  0.500
In  0.500  0.500  0.126
In  0.500  0.500  0.376
In  0.500  0.500  0.624
In  0.500  0.500  0.874

Computed properties:
- energy above the most stable polymorph in this dataset (meV/atom) = 0
- DOS at the Fermi energy (states/eV/cell) = 4.759
- formation energy from the elements (eV/f.u.) = -3.8
- theoretical density (Mg/m³) = 8.5
- space-group type = P4/mmm

***

# 3
## Y2ScHg (PBE)

Data for a relaxed structure of Y2ScHg.

Cell lengths 4.947, 3.603, 12.268 Å; angles 90.00, 90.00, 90.00 degrees
Fractional positions:
Y  0.000  0.000  0.000
Y  0.000  0.500  0.500
Y  0.500  0.000  0.332
Y  0.500  0.500  0.832
Sc  0.000  0.000  0.729
Sc  0.000  0.500  0.229
Hg  0.500  0.000  0.597
Hg  0.500  0.500  0.097

Computed properties:
- DOS at the Fermi energy (states/eV/cell) = 9.320
- formation energy from the elements (eV/f.u.) = -0.8
- theoretical density (Mg/m³) = 6.4
- space-group type = Amm2